Entry from Alexandria: an optimized crystal structure of TbPuZn2Ge2 (PBE).

Cell and atoms, written as POSCAR:
```
TbPuZn2Ge2
1.0
4.256 0.000 0.000
-2.128 3.686 0.000
0.000 0.000 7.955
Tb Pu Zn Ge
1 1 2 2
Direct
0.000 0.000 0.000
0.000 0.000 0.500
0.333 0.667 0.246
0.667 0.333 0.754
0.333 0.667 0.750
0.667 0.333 0.250
```

Output
Calculated volume ... 20.80 Å³ per atom
SG ... P-3m1
ΔE_f ... -475 meV per atom